La2SbPb: optimized geometry, PBE.

Structure (extended XYZ):
```
4
Lattice="4.097 0.000 0.000 0.000 4.354 0.000 0.000 0.000 6.992" Properties=species:S:1:pos:R:3 pbc="T T T"
La 0.000 0.000 6.950
La 0.000 0.000 3.539
Pb 2.048 2.177 1.748
Sb 2.048 2.177 5.244
```

## Properties
Symmetry ... Pmmm (47)
DOS(E_F) ... 0.997 states/eV/atom
Total magnetic moment ... 0.00 Bohr magnetons per cell
ρ ... 8.08 Mg/m³
ΔE_f (raw) ... -0.80 eV per atom